(1)
Compound: RbNa3Au2
Source: Alexandria via LeMat-Bulk
Functional: PBE
Structure: relaxed

Values from the calculation:
**Energy relative to the lowest polymorph listed for this composition**: 1.4 kJ/mol of atoms
**ΔH_f (0 K)**: -0.21 eV/atom
**Crystal system**: monoclinic

Structure (CIF):
```
data_RbNa3Au2
_space_group_name_H-M_alt 'C 1 2/m 1'
_space_group_IT_number 12
_cell_length_a 18.720
_cell_length_b 4.728
_cell_length_c 10.030
_cell_angle_alpha 90.00
_cell_angle_beta 122.32
_cell_angle_gamma 90.00
loop_
_space_group_symop_operation_xyz
'x,y,z'
'-x,-y,-z'
'-x,y,-z'
'x,-y,z'
'x+1/2,y+1/2,z'
'-x+1/2,-y+1/2,-z'
'-x+1/2,y+1/2,-z'
'x+1/2,-y+1/2,z'
loop_
_atom_site_label
_atom_site_type_symbol
_atom_site_fract_x
_atom_site_fract_y
_atom_site_fract_z
Rb1 Rb 0.138 0.000 0.138
Na1 Na 0.000 0.000 0.339
Na2 Na 0.159 0.500 0.847
Na3 Na 0.160 0.500 0.471
Au1 Au 0.000 0.500 0.141
Au2 Au 0.176 0.000 0.675
```



(2)
Compound: SrAl2ZnAu5
Source: Alexandria via LeMat-Bulk
Functional: PBE
Structure: relaxed

Values from the calculation:
**ΔH_f (0 K)**: -0.34 eV/atom
**Crystal system**: orthorhombic

Structure (CIF):
```
data_SrAl2ZnAu5
_space_group_name_H-M_alt 'I m m m'
_space_group_IT_number 71
_space_group_name_Hall '-I 2 2'
_cell_length_a 4.810
_cell_length_b 6.032
_cell_length_c 13.583
_cell_angle_alpha 90.00
_cell_angle_beta 90.00
_cell_angle_gamma 90.00
loop_
_atom_site_label
_atom_site_type_symbol
_atom_site_fract_x
_atom_site_fract_y
_atom_site_fract_z
Sr1 Sr 0.000 0.000 0.000
Al1 Al 0.000 0.500 0.186
Zn1 Zn 0.000 0.000 0.500
Au1 Au 0.000 0.246 0.333
Au2 Au 0.000 0.500 0.000
```



(3)
Compound: InCuIr2
Source: Alexandria via LeMat-Bulk
Functional: PBE
Structure: relaxed

Values from the calculation:
**ΔH_f (0 K)**: 0.06 eV/atom
**Crystal system**: monoclinic

Structure (CIF):
```
data_InCuIr2
_space_group_name_H-M_alt 'C 1 2/m 1'
_space_group_IT_number 12
_cell_length_a 8.922
_cell_length_b 2.872
_cell_length_c 4.910
_cell_angle_alpha 90.00
_cell_angle_beta 101.08
_cell_angle_gamma 90.00
loop_
_space_group_symop_operation_xyz
'x,y,z'
'-x,-y,-z'
'-x,y,-z'
'x,-y,z'
'x+1/2,y+1/2,z'
'-x+1/2,-y+1/2,-z'
'-x+1/2,y+1/2,-z'
'x+1/2,-y+1/2,z'
loop_
_atom_site_label
_atom_site_type_symbol
_atom_site_fract_x
_atom_site_fract_y
_atom_site_fract_z
In1 In 0.000 0.000 0.000
Cu1 Cu 0.000 0.500 0.500
Ir1 Ir 0.247 0.000 0.729
```



(4)
Compound: Nd3ScTl4
Source: Alexandria via LeMat-Bulk
Functional: PBE
Structure: relaxed

Values from the calculation:
**Energy relative to the lowest polymorph listed for this composition**: 0.0 kJ/mol of atoms
**ΔH_f (0 K)**: -0.36 eV/atom
**Crystal system**: tetragonal

Structure (CIF):
```
data_Nd3ScTl4
_space_group_name_H-M_alt 'P 4/m m m'
_space_group_IT_number 123
_space_group_name_Hall '-P 4 2'
_cell_length_a 3.770
_cell_length_b 3.770
_cell_length_c 15.825
_cell_angle_alpha 90.00
_cell_angle_beta 90.00
_cell_angle_gamma 90.00
loop_
_atom_site_label
_atom_site_type_symbol
_atom_site_fract_x
_atom_site_fract_y
_atom_site_fract_z
Nd1 Nd 0.000 0.000 0.000
Nd2 Nd 0.000 0.000 0.262
Sc1 Sc 0.000 0.000 0.500
Tl1 Tl 0.500 0.500 0.132
Tl2 Tl 0.500 0.500 0.394
```



(5)
Compound: LaBeTe2O8
Source: Alexandria via LeMat-Bulk
Functional: PBE
Structure: relaxed

Values from the calculation:
**E_form (uncorrected)**: -1.53 eV/atom
**Crystal system**: orthorhombic

Structure (CIF):
```
data_LaBeTe2O8
_space_group_name_H-M_alt 'C m m m'
_space_group_IT_number 65
_space_group_name_Hall '-C 2 2'
_cell_length_a 6.398
_cell_length_b 7.554
_cell_length_c 6.561
_cell_angle_alpha 90.00
_cell_angle_beta 90.00
_cell_angle_gamma 90.00
loop_
_atom_site_label
_atom_site_type_symbol
_atom_site_fract_x
_atom_site_fract_y
_atom_site_fract_z
La1 La 0.000 0.000 0.000
Be1 Be 0.000 0.000 0.500
Te1 Te 0.000 0.500 0.272
O1 O 0.000 0.321 0.500
O2 O 0.000 0.337 0.000
O3 O 0.193 0.000 0.298
```



(6)
Compound: La5Nd8Y
Source: Alexandria via LeMat-Bulk
Functional: PBE
Structure: relaxed

Values from the calculation:
**ΔH_f (0 K)**: 0.22 eV/atom
**Crystal system**: tetragonal

Structure (CIF):
```
data_La5Nd8Y
_space_group_name_H-M_alt 'I -4'
_space_group_IT_number 82
_cell_length_a 9.884
_cell_length_b 9.884
_cell_length_c 10.358
_cell_angle_alpha 90.00
_cell_angle_beta 90.00
_cell_angle_gamma 90.00
loop_
_space_group_symop_operation_xyz
'x,y,z'
'y,-x,-z'
'-x,-y,z'
'-y,x,-z'
'x+1/2,y+1/2,z+1/2'
'y+1/2,-x+1/2,-z+1/2'
'-x+1/2,-y+1/2,z+1/2'
'-y+1/2,x+1/2,-z+1/2'
loop_
_atom_site_label
_atom_site_type_symbol
_atom_site_fract_x
_atom_site_fract_y
_atom_site_fract_z
La1 La 0.000 0.000 0.000
La2 La 0.108 0.787 0.577
Nd1 Nd 0.072 0.671 0.902
Nd2 Nd 0.079 0.819 0.243
Y1 Y 0.000 0.500 0.250
```



(7)
Compound: ZnCuW
Source: Alexandria via LeMat-Bulk
Functional: PBE
Structure: relaxed

Values from the calculation:
**Energy relative to the lowest polymorph listed for this composition**: 96.0 kJ/mol of atoms
**ΔH_f (0 K)**: 1.17 eV/atom
**Crystal system**: cubic

Structure (CIF):
```
data_ZnCuW
_space_group_name_H-M_alt 'F -4 3 m'
_space_group_IT_number 216
_space_group_name_Hall 'F -4 2 3'
_cell_length_a 5.908
_cell_length_b 5.908
_cell_length_c 5.908
_cell_angle_alpha 90.00
_cell_angle_beta 90.00
_cell_angle_gamma 90.00
loop_
_atom_site_label
_atom_site_type_symbol
_atom_site_fract_x
_atom_site_fract_y
_atom_site_fract_z
Zn1 Zn 0.000 0.000 0.000
Cu1 Cu 0.000 0.000 0.500
W1 W 0.250 0.250 0.750
```



(8)
Compound: Ce2PmInIr
Source: Alexandria via LeMat-Bulk
Functional: PBE
Structure: relaxed

Values from the calculation:
**ΔH_f (0 K)**: -0.32 eV/atom
**Crystal system**: tetragonal

Structure (CIF):
```
data_Ce2PmInIr
_space_group_name_H-M_alt 'P 4/m m m'
_space_group_IT_number 123
_space_group_name_Hall '-P 4 2'
_cell_length_a 5.333
_cell_length_b 5.333
_cell_length_c 5.711
_cell_angle_alpha 90.00
_cell_angle_beta 90.00
_cell_angle_gamma 90.00
loop_
_atom_site_label
_atom_site_type_symbol
_atom_site_fract_x
_atom_site_fract_y
_atom_site_fract_z
Ce1 Ce 0.000 0.500 0.000
Pm1 Pm 0.000 0.000 0.500
In1 In 0.500 0.500 0.500
Ir1 Ir 0.000 0.000 0.000
```



VASP energy: -2.12, -3.32, -6.08, -4.13, -6.08, -4.73, -4.94, -5.97 (eV/atom)